Here is an optimized crystal structure of Na2Ti2O5 from Alexandria via LeMat-Bulk. Energies are from GGA-PBE.

Structure (POSCAR):
```
Na2Ti2O5
1.0
-1.009 3.370 5.091
-3.860 1.068 4.717
2.433 -3.645 3.906
O Na Ti
5 2 2
Direct
0.000 0.000 0.000
0.679 0.679 0.991
0.321 0.321 0.009
0.872 0.872 0.602
0.128 0.128 0.398
0.394 0.394 0.360
0.606 0.606 0.640
0.854 0.854 0.900
0.146 0.146 0.100
```

Results
**Raw formation energy**: -253.9 kJ/mol of atoms

Here is an optimized crystal structure of LaPr3Hg2 from Alexandria via LeMat-Bulk. Energies are from GGA-PBE.

Structure (POSCAR):
```
LaPr3Hg2
1.0
-0.909 -4.020 -3.378
0.812 -4.762 5.449
-9.600 0.558 1.918
Pr Hg La
6 4 2
Direct
0.000 0.986 0.057
0.000 0.829 0.674
0.500 0.172 0.828
0.000 0.329 0.326
0.500 0.672 0.172
0.000 0.486 0.943
0.000 0.266 0.649
0.500 0.234 0.148
0.500 0.734 0.852
0.000 0.766 0.351
0.500 0.013 0.442
0.500 0.513 0.558
```

Results
**Energy relative to the elements**: -0.32 eV/atom
**Relative energy among the computed polymorphs**: 0 meV per atom

Here is an optimized crystal structure of KSr4Tl5 from Alexandria via LeMat-Bulk. Energies are from GGA-PBE.

Structure (POSCAR):
```
KSr4Tl5
1.0
-0.259 2.023 -3.578
-4.067 0.392 0.516
3.007 18.048 9.987
Sr Tl K
4 5 1
Direct
0.000 0.000 0.207
0.000 0.000 0.598
0.000 0.000 0.793
0.000 0.000 0.402
0.500 0.500 0.500
0.500 0.500 0.697
0.500 0.500 0.886
0.500 0.500 0.114
0.500 0.500 0.303
0.000 0.000 0.000
```

Results
**Energy relative to the elements**: -0.35 eV/atom

Here is an optimized crystal structure of Ca2Cu2Au from Alexandria via LeMat-Bulk. Energies are from GGA-PBE.

Structure (POSCAR):
```
Ca2Cu2Au
1.0
4.331 0.000 0.000
2.166 5.328 -0.117
2.166 0.598 9.630
Cu Ca Au
4 4 2
Direct
0.130 0.294 0.446
0.870 0.706 0.554
0.015 0.864 0.105
0.985 0.136 0.895
0.695 0.725 0.885
0.517 0.305 0.661
0.305 0.275 0.115
0.483 0.695 0.339
0.223 0.894 0.661
0.777 0.106 0.339
```

Results
**Energy relative to the elements**: -0.36 eV/atom
**Relative energy among the computed polymorphs**: 0 meV per atom

Here is an optimized crystal structure of Tb6SmTm2Th3 from Alexandria via LeMat-Bulk. Energies are from GGA-PBE.

Structure (POSCAR):
```
Tb6SmTm2Th3
1.0
-3.450 -4.571 -2.313
5.673 -1.190 2.130
-5.120 -0.100 10.590
Tb Th Tm Sm
6 3 2 1
Direct
0.750 0.750 0.253
0.250 0.250 0.747
0.084 0.418 0.253
0.582 0.916 0.747
0.916 0.582 0.747
0.418 0.084 0.253
0.166 0.834 0.500
0.500 0.500 0.500
0.834 0.166 0.500
0.333 0.667 0.000
0.667 0.333 0.000
0.000 0.000 0.000
```

Results
**Energy relative to the elements**: 0.03 eV/atom

Here is an optimized crystal structure of Sc3SnSe from Alexandria via LeMat-Bulk. Energies are from GGA-PBE.

Structure (POSCAR):
```
Sc3SnSe
1.0
-2.263 3.917 -2.061
-4.392 -1.698 1.595
0.552 2.547 4.234
Sc Se Sn
3 1 1
Direct
0.000 0.500 0.000
0.000 0.000 0.500
0.500 0.000 0.000
0.000 0.000 0.000
0.500 0.500 0.500
```

Results
**Raw formation energy**: -60.0 kJ/mol of atoms
**Relative energy among the computed polymorphs**: 281 meV per atom

Here is an optimized crystal structure of InBCl2 from Alexandria via LeMat-Bulk. Energies are from GGA-PBE.

Structure (POSCAR):
```
InBCl2
1.0
1.038 -7.694 4.443
0.049 -8.830 1.426
3.293 -8.081 1.966
B In Cl
1 1 2
Direct
0.500 0.500 0.500
0.000 0.000 0.000
0.114 0.114 0.114
0.886 0.886 0.886
```

Results
**Raw formation energy**: 44.9 kJ/mol of atoms
**Relative energy among the computed polymorphs**: 249 meV per atom

Here is an optimized crystal structure of SrScFe2 from Alexandria via LeMat-Bulk. Energies are from GGA-PBE.

Structure (POSCAR):
```
SrScFe2
1.0
-5.710 6.795 0.781
-7.221 4.982 -1.557
-7.655 4.248 1.654
Sc Fe Sr
1 2 1
Direct
0.250 0.250 0.250
0.510 0.510 0.510
0.990 0.990 0.990
0.750 0.750 0.750
```

Results
**Energy relative to the elements**: 0.76 eV/atom

Here is an optimized crystal structure of CoIrRu2 from Alexandria via LeMat-Bulk. Energies are from GGA-PBE.

Structure (POSCAR):
```
CoIrRu2
1.0
5.227 0.006 0.002
2.669 4.494 -0.002
-3.386 -3.235 2.320
Co Ir Ru
1 1 2
Direct
0.500 0.500 0.000
0.725 0.225 0.500
0.277 0.777 0.500
0.997 0.997 0.000
```

Results
**Energy relative to the elements**: 0.31 eV/atom

Here is an optimized crystal structure of TaBr from Alexandria via LeMat-Bulk. Energies are from GGA-PBE.

Structure (POSCAR):
```
TaBr
1.0
5.174 0.012 0.000
1.443 4.968 0.000
-3.308 -2.490 3.102
Br Ta
2 2
Direct
0.250 0.750 0.500
0.000 0.000 0.000
0.750 0.250 0.500
0.500 0.500 0.000
```

Results
**Raw formation energy**: 92.9 kJ/mol of atoms

Here is an optimized crystal structure of SrCdSCl2 from Alexandria via LeMat-Bulk. Energies are from GGA-PBE.

Structure (POSCAR):
```
SrCdSCl2
1.0
5.144 0.000 0.000
0.000 5.144 0.000
0.000 0.000 5.158
Cl S Cd Sr
2 1 1 1
Direct
0.000 0.500 0.000
0.500 0.000 0.000
0.000 0.000 0.500
0.000 0.000 0.000
0.500 0.500 0.500
```

Results
**Raw formation energy**: -123.0 kJ/mol of atoms
**Relative energy among the computed polymorphs**: 0 meV per atom

Here is an optimized crystal structure of LuThSe2 from Alexandria via LeMat-Bulk. Energies are from GGA-PBE.

Structure (POSCAR):
```
LuThSe2
1.0
-3.083 1.824 -1.658
-3.209 0.804 2.153
0.714 7.269 1.969
Se Lu Th
2 1 1
Direct
0.258 0.258 0.225
0.742 0.742 0.775
0.000 0.000 0.000
0.500 0.500 0.500
```

Results
**Raw formation energy**: -152.1 kJ/mol of atoms

Here is an optimized crystal structure of ScAl3Fe8 from Alexandria via LeMat-Bulk. Energies are from GGA-PBE.

Structure (POSCAR):
```
ScAl3Fe8
1.0
-0.411 -4.004 2.542
3.478 3.097 0.984
-4.660 3.647 4.993
Fe Sc Al
8 1 3
Direct
0.991 0.495 0.756
0.164 0.327 0.245
0.505 0.009 0.756
0.164 0.836 0.245
0.505 0.495 0.756
0.333 0.667 0.500
0.673 0.836 0.245
0.333 0.667 0.997
0.000 0.000 0.565
0.667 0.333 0.063
0.667 0.333 0.432
0.000 0.000 0.941
```

Results
**Energy relative to the elements**: -0.18 eV/atom

Here is an optimized crystal structure of NaCaHoF6 from Alexandria via LeMat-Bulk. Energies are from GGA-PBE.

Structure (POSCAR):
```
NaCaHoF6
1.0
-5.029 1.219 0.795
-0.862 -0.190 -5.161
-2.381 -10.327 0.779
F Ho Ca Na
12 2 2 2
Direct
0.687 0.687 0.993
0.195 0.805 0.179
0.813 0.187 0.493
0.205 0.795 0.828
0.313 0.313 0.993
0.695 0.695 0.679
0.305 0.305 0.679
0.187 0.813 0.493
0.805 0.195 0.179
0.795 0.205 0.828
0.705 0.705 0.328
0.295 0.295 0.328
0.000 0.000 0.334
0.500 0.500 0.834
0.000 0.000 0.667
0.500 0.500 0.167
0.000 0.000 0.999
0.500 0.500 0.499
```

Results
**Raw formation energy**: -363.0 kJ/mol of atoms

Here is an optimized crystal structure of CsK2CdGa from Alexandria via LeMat-Bulk. Energies are from GGA-PBE.

Structure (POSCAR):
```
CsK2CdGa
1.0
-6.208 1.268 -1.933
-0.843 -6.400 -1.490
-2.280 -1.218 6.523
Cd Cs K Ga
1 1 2 1
Direct
0.500 0.500 0.500
0.000 0.000 0.500
0.000 0.500 0.000
0.500 0.000 0.000
0.000 0.000 0.000
```

Results
**Energy relative to the elements**: 0.22 eV/atom
**Relative energy among the computed polymorphs**: 169 meV per atom

Here is an optimized crystal structure of Sc6AgPd12 from Alexandria via LeMat-Bulk. Energies are from GGA-PBE.

Structure (POSCAR):
```
Sc6AgPd12
1.0
6.925 0.348 0.417
-0.706 6.898 0.417
-0.706 -0.823 6.861
Sc Pd Ag
6 12 1
Direct
0.855 0.253 0.693
0.693 0.855 0.253
0.145 0.747 0.307
0.747 0.307 0.145
0.307 0.145 0.747
0.253 0.693 0.855
0.867 0.632 0.958
0.958 0.867 0.632
0.133 0.368 0.042
0.533 0.209 0.460
0.368 0.042 0.133
0.540 0.467 0.791
0.209 0.460 0.533
0.632 0.958 0.867
0.467 0.791 0.540
0.042 0.133 0.368
0.460 0.533 0.209
0.791 0.540 0.467
0.000 0.000 0.000
```

Results
**Energy relative to the elements**: -0.66 eV/atom

Here is an optimized crystal structure of Cs3HgAu6 from Alexandria via LeMat-Bulk. Energies are from GGA-PBE.

Structure (POSCAR):
```
Cs3HgAu6
1.0
-5.024 2.451 5.223
-6.958 0.249 -1.206
-4.952 -6.502 3.892
Hg Au Cs
1 6 3
Direct
0.000 0.500 0.500
0.566 0.801 0.712
0.079 0.199 0.288
0.434 0.199 0.288
0.921 0.801 0.712
0.776 0.043 0.406
0.224 0.957 0.594
0.000 0.000 0.000
0.565 0.666 0.204
0.435 0.334 0.796
```

Results
**Energy relative to the elements**: -0.16 eV/atom

Here is an optimized crystal structure of TbSc2 from Alexandria via LeMat-Bulk. Energies are from GGA-PBE.

Structure (POSCAR):
```
TbSc2
1.0
6.277 0.000 0.000
3.138 5.436 0.000
3.138 1.812 5.125
Tb Sc
2 4
Direct
0.000 0.000 0.000
0.250 0.250 0.250
0.625 0.625 0.125
0.625 0.125 0.625
0.625 0.625 0.625
0.125 0.625 0.625
```

Results
**Energy relative to the elements**: 0.23 eV/atom
**Relative energy among the computed polymorphs**: 198 meV per atom

Here is an optimized crystal structure of Sm3DyMg from Alexandria via LeMat-Bulk. Energies are from GGA-PBE.

Structure (POSCAR):
```
Sm3DyMg
1.0
-0.698 1.958 5.307
-6.155 -0.011 -0.806
-0.615 -9.498 0.363
Sm Mg Dy
6 2 2
Direct
0.845 0.309 0.691
0.646 0.347 0.292
0.045 0.225 0.091
0.955 0.775 0.909
0.354 0.653 0.708
0.155 0.691 0.309
0.564 0.843 0.127
0.436 0.157 0.873
0.753 0.830 0.506
0.247 0.170 0.494
```

Results
**Energy relative to the elements**: 0.06 eV/atom
**Relative energy among the computed polymorphs**: 0 meV per atom

Here is an optimized crystal structure of AlBr2Cl from Alexandria via LeMat-Bulk. Energies are from GGA-PBE.

Structure (POSCAR):
```
AlBr2Cl
1.0
3.444 0.000 0.000
0.000 6.591 0.144
0.000 2.891 6.178
Al Br Cl
1 2 1
Direct
0.500 0.838 0.654
0.000 0.882 0.900
0.500 0.164 0.340
0.000 0.616 0.606
```

Results
**Raw formation energy**: -109.3 kJ/mol of atoms
**Relative energy among the computed polymorphs**: 62 meV per atom

Here is an optimized crystal structure of Th2MnGe3 from Alexandria via LeMat-Bulk. Energies are from GGA-PBE.

Structure (POSCAR):
```
Th2MnGe3
1.0
-2.744 -5.282 0.020
4.893 -2.404 -2.389
1.561 2.499 7.936
Ge Th Mn
6 4 2
Direct
0.170 0.658 0.828
0.342 0.830 0.172
0.175 0.175 0.350
0.825 0.825 0.650
0.830 0.342 0.172
0.658 0.170 0.828
0.750 0.250 0.500
0.250 0.750 0.500
0.253 0.253 0.000
0.747 0.747 0.000
0.336 0.336 0.672
0.664 0.664 0.328
```

Results
**Energy relative to the elements**: -0.54 eV/atom

Here is an optimized crystal structure of FeMo2Cl from Alexandria via LeMat-Bulk. Energies are from GGA-PBE.

Structure (POSCAR):
```
FeMo2Cl
1.0
-2.918 -1.241 0.431
0.655 -2.103 -1.617
2.350 -3.578 5.604
Mo Cl Fe
2 1 1
Direct
0.000 0.250 0.955
0.000 0.250 0.545
0.500 0.250 0.250
0.500 0.750 0.750
```

Results
**Raw formation energy**: 33.0 kJ/mol of atoms
**Relative energy among the computed polymorphs**: 57 meV per atom

Here is an optimized crystal structure of MgAsW from Alexandria via LeMat-Bulk. Energies are from GGA-PBE.

Structure (POSCAR):
```
MgAsW
1.0
-1.390 -4.144 1.399
4.063 0.476 -2.080
1.214 0.426 2.470
W As Mg
1 1 1
Direct
0.333 0.667 0.833
0.000 0.000 0.834
0.667 0.333 0.332
```

Results
**Energy relative to the elements**: 0.29 eV/atom
**Relative energy among the computed polymorphs**: 221 meV per atom

Here is an optimized crystal structure of Tl2HgI from Alexandria via LeMat-Bulk. Energies are from GGA-PBE.

Structure (POSCAR):
```
Tl2HgI
1.0
-6.883 -1.880 5.571
-2.234 -7.098 -5.155
-2.387 -6.603 2.177
Tl I Hg
4 2 2
Direct
0.644 0.125 0.250
0.875 0.894 0.750
0.106 0.625 0.250
0.375 0.356 0.750
0.500 0.500 0.000
0.250 0.750 0.500
0.000 0.000 0.000
0.750 0.250 0.500
```

Results
**Raw formation energy**: -17.9 kJ/mol of atoms
**Relative energy among the computed polymorphs**: 58 meV per atom